Pr2MgCu2: relaxed, GGA-PBEsol.

a b c (Å): 3.798 7.728 7.728
angles (deg): 90.00 90.00 90.00
Atoms (fractional coordinates):
Pr: 0.500 0.329 0.829
Cu: 0.000 0.121 0.621
Cu: 0.000 0.879 0.379
Pr: 0.500 0.829 0.671
Pr: 0.500 0.171 0.329
Cu: 0.000 0.379 0.121
Cu: 0.000 0.621 0.879
Pr: 0.500 0.671 0.171
Mg: 0.000 0.000 0.000
Mg: 0.000 0.500 0.500

## Properties
Calculated volume   113.4 Å³/f.u.
DFT formation energy   -154 meV/atom
Density of states at the Fermi level   4.3 states/eV/f.u.
M_tot   0.00 μB/cell

---

Mg2CuPt: relaxed, GGA-PBEsol.

a b c (Å): 3.092 3.092 6.327
angles (deg): 90.00 90.00 90.00
Atoms (fractional coordinates):
Mg: 0.000 0.000 0.748
Pt: 0.500 0.500 0.000
Cu: 0.500 0.500 0.500
Mg: 0.000 0.000 0.252

## Properties
Calculated volume   60.5 Å³/f.u.
DFT formation energy   -430 meV/atom
Density of states at the Fermi level   1.4 states/eV/f.u.
M_tot   0.00 μB/cell

---

Mg2Cu2Pt: relaxed, GGA-PBEsol.

a b c (Å): 3.781 3.781 6.076
angles (deg): 108.13 108.13 90.00
Atoms (fractional coordinates):
Mg: 0.250 0.750 0.500
Cu: 0.401 0.401 0.802
Mg: 0.750 0.250 0.500
Cu: 0.599 0.599 0.198
Pt: 0.000 0.000 0.000

## Properties
Calculated volume   78.0 Å³/f.u.
DFT formation energy   287 meV/atom
Density of states at the Fermi level   2.1 states/eV/f.u.
M_tot   0.00 μB/cell

---

Mg2CuPt: relaxed, GGA-PBEsol.

a b c (Å): 2.971 3.481 5.871
angles (deg): 90.00 90.00 90.00
Atoms (fractional coordinates):
Mg: 0.000 0.000 0.751
Pt: 0.500 0.500 0.000
Cu: 0.500 0.500 0.500
Mg: 0.000 0.000 0.249

## Properties
Calculated volume   60.7 Å³/f.u.
DFT formation energy   -435 meV/atom
Density of states at the Fermi level   1.3 states/eV/f.u.
M_tot   0.00 μB/cell

---

MgCu2Pt: relaxed, GGA-PBEsol.

a b c (Å): 2.942 4.244 5.057
angles (deg): 114.81 106.91 90.00
Atoms (fractional coordinates):
Pt: 0.000 0.500 0.000
Cu: 0.253 0.253 0.507
Mg: 0.500 0.000 0.000
Cu: 0.747 0.747 0.493

## Properties
Calculated volume   54.3 Å³/f.u.
DFT formation energy   -236 meV/atom
Density of states at the Fermi level   1.2 states/eV/f.u.
M_tot   0.00 μB/cell

---

MgCu3Pt: relaxed, GGA-PBEsol.

a b c (Å): 4.618 4.618 4.618
angles (deg): 90.00 90.00 90.00
Atoms (fractional coordinates):
Cu: 0.500 0.000 0.000
Pt: 0.000 0.000 0.000
Cu: 0.000 0.500 0.000
Cu: 0.000 0.000 0.500
Mg: 0.500 0.500 0.500

## Properties
Calculated volume   98.5 Å³/f.u.
DFT formation energy   667 meV/atom
Density of states at the Fermi level   2.5 states/eV/f.u.
M_tot   0.00 μB/cell

---

MgCu2Pt: relaxed, GGA-PBEsol.

a b c (Å): 3.780 3.780 4.614
angles (deg): 114.18 114.18 90.00
Atoms (fractional coordinates):
Pt: 0.250 0.750 0.500
Mg: 0.000 0.000 0.000
Cu: 0.500 0.500 0.000
Cu: 0.750 0.250 0.500

## Properties
Calculated volume   53.7 Å³/f.u.
DFT formation energy   -331 meV/atom
Density of states at the Fermi level   1.0 states/eV/f.u.
M_tot   0.00 μB/cell

---

MgCu2Pt: relaxed, GGA-PBEsol.

a b c (Å): 3.789 3.789 4.612
angles (deg): 114.25 114.25 90.00
Atoms (fractional coordinates):
Cu: 0.250 0.750 0.500
Cu: 0.750 0.250 0.500
Mg: 0.500 0.500 0.000
Pt: 0.000 0.000 0.000

## Properties
Calculated volume   53.9 Å³/f.u.
DFT formation energy   -312 meV/atom
Density of states at the Fermi level   1.3 states/eV/f.u.
M_tot   0.00 μB/cell